Tb2Pm5PrDy | GGA-PBE | relaxed

Cell: 10.561 10.561 10.765 Å, 90.00 90.00 148.80°
Fractional positions:
Tb 0.110 0.890 0.500
Tb 0.117 0.883 0.084
Tb 0.883 0.117 0.584
Tb 0.890 0.110 0.000
Pm 0.017 0.983 0.788
Pm 0.282 0.718 0.071
Pm 0.297 0.703 0.468
Pm 0.393 0.607 0.789
Pm 0.479 0.521 0.505
Pm 0.521 0.479 0.005
Pm 0.607 0.393 0.289
Pm 0.703 0.297 0.968
Pm 0.718 0.282 0.571
Pm 0.983 0.017 0.288
Pr 0.203 0.797 0.773
Pr 0.797 0.203 0.273
Dy 0.411 0.589 0.220
Dy 0.589 0.411 0.720

Calculated values
- density of states at the Fermi level (states/eV per cell) = 27.80
- calculated formation energy (kJ/mol of formula units) = 124.8
- magnetization (μB per cell) = 0.00

Tb2PmPrDy5 | GGA-PBE | relaxed

Cell: 9.795 9.795 9.795 Å, 126.17 126.17 79.60°
Fractional positions:
Tb 0.115 0.615 0.730
Tb 0.385 0.115 0.500
Tb 0.615 0.885 0.500
Tb 0.885 0.385 0.270
Pm 0.250 0.750 0.500
Pm 0.750 0.250 0.500
Pr 0.250 0.250 0.000
Pr 0.750 0.750 0.000
Dy 0.000 0.000 0.000
Dy 0.072 0.162 0.500
Dy 0.162 0.662 0.091
Dy 0.338 0.428 0.500
Dy 0.428 0.928 0.091
Dy 0.500 0.500 0.000
Dy 0.572 0.072 0.909
Dy 0.662 0.572 0.500
Dy 0.838 0.338 0.909
Dy 0.928 0.838 0.500

Calculated values
- density of states at the Fermi level (states/eV per cell) = 21.60
- calculated formation energy (kJ/mol of formula units) = 237.1
- magnetization (μB per cell) = 0.00

TbPm2Pr2Dy2 | GGA-PBE | relaxed

Cell: 8.859 8.859 8.859 Å, 38.04 38.04 38.04°
Fractional positions:
Tb 0.000 0.000 0.000
Pm 0.282 0.282 0.282
Pm 0.718 0.718 0.718
Pr 0.138 0.138 0.138
Pr 0.862 0.862 0.862
Dy 0.426 0.426 0.426
Dy 0.574 0.574 0.574

Calculated values
- density of states at the Fermi level (states/eV per cell) = 16.48
- calculated formation energy (kJ/mol of formula units) = 89.2
- magnetization (μB per cell) = 0.00

TbPm2Pr3Dy6 | GGA-PBE | relaxed

Cell: 6.256 6.256 11.872 Å, 95.03 95.03 120.00°
Fractional positions:
Tb 0.000 0.000 0.000
Pm 0.334 0.666 0.000
Pm 0.666 0.334 0.000
Pr 0.167 0.833 0.500
Pr 0.500 0.500 0.500
Pr 0.833 0.167 0.500
Dy 0.083 0.416 0.248
Dy 0.250 0.250 0.752
Dy 0.416 0.083 0.248
Dy 0.584 0.917 0.752
Dy 0.750 0.750 0.248
Dy 0.917 0.584 0.752

Calculated values
- density of states at the Fermi level (states/eV per cell) = 14.38
- calculated formation energy (kJ/mol of formula units) = 16.1
- magnetization (μB per cell) = 0.00

Tb6PmPr3Dy2 | GGA-PBE | relaxed

Cell: 6.248 6.248 11.918 Å, 95.01 95.01 119.99°
Fractional positions:
Tb 0.084 0.418 0.753
Tb 0.249 0.249 0.247
Tb 0.418 0.084 0.753
Tb 0.582 0.916 0.247
Tb 0.751 0.751 0.753
Tb 0.916 0.582 0.247
Pm 0.500 0.500 0.000
Pr 0.000 0.000 0.500
Pr 0.333 0.667 0.500
Pr 0.667 0.333 0.500
Dy 0.167 0.833 0.000
Dy 0.833 0.167 0.000

Calculated values
- density of states at the Fermi level (states/eV per cell) = 15.61
- calculated formation energy (kJ/mol of formula units) = 18.3
- magnetization (μB per cell) = 0.00

TbPmPrDy3 | GGA-PBE | relaxed

Cell: 6.316 6.316 11.911 Å, 90.00 90.00 123.81°
Fractional positions:
Tb 0.173 0.827 0.750
Tb 0.827 0.173 0.250
Pm 0.499 0.501 0.750
Pm 0.501 0.499 0.250
Pr 0.000 0.000 0.000
Pr 0.000 0.000 0.500
Dy 0.172 0.828 0.250
Dy 0.328 0.672 0.001
Dy 0.328 0.672 0.499
Dy 0.672 0.328 0.501
Dy 0.672 0.328 0.999
Dy 0.828 0.172 0.750

Calculated values
- density of states at the Fermi level (states/eV per cell) = 24.65
- calculated formation energy (kJ/mol of formula units) = 66.3
- magnetization (μB per cell) = 0.00